Density functional theory data (PBE) for crystalline SiP2SeS at its relaxed geometry.

```
SiP2SeS
1.0
-4.383 0.747 1.327
0.132 -3.842 2.598
1.406 2.309 3.344
S Si P Se
1 1 2 1
direct
0.000 0.000 0.500
0.000 0.000 0.000
0.000 0.500 0.000
0.500 0.000 0.000
0.500 0.500 0.500
```

Offset from the most stable computed form ... 0.000 kcal/mol of atoms
Space group ... P4/mmm, No. 123
Raw formation energy ... 0.717 eV per atom